[1]
This record from the Alexandria database describes a relaxed Cs2LiAg3Te4 crystal. The functional is PBE.

The structure in CIF format:
```
data_Cs2LiAg3Te4
_chemical_formula_sum 'Cs2 Li1 Ag3 Te4'
_cell_length_a 5.1507
_cell_length_b 5.1507
_cell_length_c 11.5184
_cell_angle_alpha 90.00
_cell_angle_beta 90.00
_cell_angle_gamma 90.00
_symmetry_space_group_name_H-M 'P -4 m 2'
_symmetry_Int_Tables_number 115
_symmetry_space_group_name_Hall 'P -4 -2'
loop_
_atom_site_label
_atom_site_fract_x
_atom_site_fract_y
_atom_site_fract_z
_atom_site_occupancy
Cs1 0.0000 0.5000 0.2427 1
Li1 0.5000 0.5000 0.0000 1
Ag1 0.0000 0.0000 0.0000 1
Ag2 0.0000 0.5000 0.6245 1
Te1 0.0000 0.0000 0.5000 1
Te2 0.0000 0.5000 0.8739 1
Te3 0.5000 0.5000 0.5000 1
```

Calculated values
M_tot	0.0	Bohr magnetons per cell
raw total energy	-3.0333	eV per atom
DOS at the Fermi energy	2.6	states/eV/cell
E_form (uncorrected)	-53.96	kJ/mol of atoms

=====

[2]
This record from the Alexandria database describes a relaxed Cs2LiAgTe2 crystal. The functional is PBE.

The structure in CIF format:
```
data_Cs2LiAgTe2
_chemical_formula_sum 'Cs8 Li4 Ag4 Te8'
_cell_length_a 7.1278
_cell_length_b 17.0573
_cell_length_c 7.1598
_cell_angle_alpha 90.00
_cell_angle_beta 90.00
_cell_angle_gamma 90.00
_symmetry_space_group_name_H-M 'I b a m'
_symmetry_Int_Tables_number 72
_symmetry_space_group_name_Hall '-I 2 2c'
loop_
_atom_site_label
_atom_site_fract_x
_atom_site_fract_y
_atom_site_fract_z
_atom_site_occupancy
Cs1 0.2429 0.1676 0.0000 1
Li1 0.0000 0.5000 0.2500 1
Ag1 0.0000 0.0000 0.2500 1
Te1 0.2451 0.4108 0.0000 1
```

Calculated values
M_tot	0.0	Bohr magnetons per cell
raw total energy	-2.9674	eV per atom
E_form (uncorrected)	-81.19	kJ/mol of atoms

=====

[3]
This record from the Alexandria database describes a relaxed CsLiAgTe crystal. The functional is PBE.

The structure in CIF format:
```
data_CsLiAgTe
_chemical_formula_sum 'Cs2 Li2 Ag2 Te2'
_cell_length_a 4.2843
_cell_length_b 4.2843
_cell_length_c 14.6362
_cell_angle_alpha 90.00
_cell_angle_beta 90.00
_cell_angle_gamma 90.00
_symmetry_space_group_name_H-M 'P 4/n m m'
_symmetry_Int_Tables_number 129
loop_
_symmetry_equiv_pos_as_xyz
'x,y,z'
'-x,-y,-z'
'-y+1/2,x,z'
'y+1/2,-x,-z'
'-x+1/2,-y+1/2,z'
'x+1/2,y+1/2,-z'
'y,-x+1/2,z'
'-y,x+1/2,-z'
'x+1/2,-y,-z'
'-x+1/2,y,z'
'-y,-x,-z'
'y,x,z'
'-x,y+1/2,-z'
'x,-y+1/2,z'
'y+1/2,x+1/2,-z'
'-y+1/2,-x+1/2,z'
loop_
_atom_site_label
_atom_site_fract_x
_atom_site_fract_y
_atom_site_fract_z
_atom_site_occupancy
Cs1 0.2500 0.2500 0.2331 1
Li1 0.2500 0.7500 0.5000 1
Ag1 0.2500 0.7500 0.0000 1
Te1 0.2500 0.2500 0.6189 1
```

Calculated values
M_tot	0.0	Bohr magnetons per cell
raw total energy	-2.7247	eV per atom
DOS at the Fermi energy	3.3	states/eV/cell
E_form (uncorrected)	-51.59	kJ/mol of atoms

=====

[4]
This record from the Alexandria database describes a relaxed CsLi2TlAg crystal. The functional is PBE.

The structure in CIF format:
```
data_CsLi2TlAg
_chemical_formula_sum 'Cs1 Li2 Tl1 Ag1'
_cell_length_a 5.5608
_cell_length_b 5.5608
_cell_length_c 5.5075
_cell_angle_alpha 90.00
_cell_angle_beta 90.00
_cell_angle_gamma 90.00
_symmetry_space_group_name_H-M 'P 4/m m m'
_symmetry_Int_Tables_number 123
_symmetry_space_group_name_Hall '-P 4 2'
loop_
_atom_site_label
_atom_site_fract_x
_atom_site_fract_y
_atom_site_fract_z
_atom_site_occupancy
Cs1 0.0000 0.0000 0.0000 1
Li1 0.0000 0.5000 0.5000 1
Tl1 0.5000 0.5000 0.5000 1
Ag1 0.5000 0.5000 0.0000 1
```

Calculated values
M_tot	0.0	Bohr magnetons per cell
raw total energy	-1.9074	eV per atom
DOS at the Fermi energy	3.2	states/eV/cell
energy relative to the elements	72.4	meV per atom

=====

[5]
This record from the Alexandria database describes a relaxed CsLi2ZnAg crystal. The functional is PBE.

The structure in CIF format:
```
data_CsLi2ZnAg
_chemical_formula_sum 'Cs1 Li2 Zn1 Ag1'
_cell_length_a 5.4100
_cell_length_b 5.4100
_cell_length_c 5.1870
_cell_angle_alpha 90.00
_cell_angle_beta 90.00
_cell_angle_gamma 90.00
_symmetry_space_group_name_H-M 'P 4/m m m'
_symmetry_Int_Tables_number 123
_symmetry_space_group_name_Hall '-P 4 2'
loop_
_atom_site_label
_atom_site_fract_x
_atom_site_fract_y
_atom_site_fract_z
_atom_site_occupancy
Cs1 0.0000 0.0000 0.0000 1
Li1 0.0000 0.5000 0.5000 1
Zn1 0.5000 0.5000 0.0000 1
Ag1 0.5000 0.5000 0.5000 1
```

Calculated values
M_tot	0.0	Bohr magnetons per cell
raw total energy	-1.6637	eV per atom
DOS at the Fermi energy	3.0	states/eV/cell
energy relative to the elements	97.6	meV per atom

=====

[6]
This record from the Alexandria database describes a relaxed Cs2Mg2Ag crystal. The functional is PBE.

The structure in CIF format:
```
data_Cs2Mg2Ag
_chemical_formula_sum 'Cs4 Mg4 Ag2'
_cell_length_a 7.8307
_cell_length_b 7.8307
_cell_length_c 6.5987
_cell_angle_alpha 90.00
_cell_angle_beta 90.00
_cell_angle_gamma 90.00
_symmetry_space_group_name_H-M 'P 4/m b m'
_symmetry_Int_Tables_number 127
_symmetry_space_group_name_Hall '-P 4 2ab'
loop_
_atom_site_label
_atom_site_fract_x
_atom_site_fract_y
_atom_site_fract_z
_atom_site_occupancy
Cs1 0.1826 0.3174 0.0000 1
Mg1 0.1479 0.6479 0.5000 1
Ag1 0.0000 0.0000 0.5000 1
```

Calculated values
M_tot	0.0	Bohr magnetons per cell
raw total energy	-1.3308	eV per atom
DOS at the Fermi energy	8.7	states/eV/cell
energy relative to the elements	218.7	meV per atom

=====

[7]
This record from the Alexandria database describes a relaxed CsMg2Ag2 crystal. The functional is PBE.

The structure in CIF format:
```
data_CsMg2Ag2
_chemical_formula_sum 'Cs2 Mg4 Ag4'
_cell_length_a 4.9460
_cell_length_b 4.9460
_cell_length_c 12.0232
_cell_angle_alpha 90.00
_cell_angle_beta 90.00
_cell_angle_gamma 90.00
_symmetry_space_group_name_H-M 'I 4/m m m'
_symmetry_Int_Tables_number 139
_symmetry_space_group_name_Hall '-I 4 2'
loop_
_atom_site_label
_atom_site_fract_x
_atom_site_fract_y
_atom_site_fract_z
_atom_site_occupancy
Cs1 0.0000 0.0000 0.0000 1
Mg1 0.0000 0.5000 0.2500 1
Ag1 0.0000 0.0000 0.3744 1
```

Calculated values
M_tot	0.0	Bohr magnetons per cell
raw total energy	-1.9098	eV per atom
ΔE to the lowest computed polymorph	0	meV per atom
DOS at the Fermi energy	4.4	states/eV/cell
energy relative to the elements	39.3	meV per atom

=====

[8]
This record from the Alexandria database describes a relaxed Cs2MgAg crystal. The functional is PBE.

The structure in CIF format:
```
data_Cs2MgAg
_chemical_formula_sum 'Cs8 Mg4 Ag4'
_cell_length_a 9.3493
_cell_length_b 9.3493
_cell_length_c 9.3493
_cell_angle_alpha 90.00
_cell_angle_beta 90.00
_cell_angle_gamma 90.00
_symmetry_space_group_name_H-M 'F m -3 m'
_symmetry_Int_Tables_number 225
_symmetry_space_group_name_Hall '-F 4 2 3'
loop_
_atom_site_label
_atom_site_fract_x
_atom_site_fract_y
_atom_site_fract_z
_atom_site_occupancy
Cs1 0.2500 0.2500 0.2500 1
Mg1 0.0000 0.0000 0.0000 1
Ag1 0.0000 0.0000 0.5000 1
```

Calculated values
M_tot	0.0	Bohr magnetons per cell
raw total energy	-1.3073	eV per atom
ΔE to the lowest computed polymorph	0	meV per atom
DOS at the Fermi energy	13.3	states/eV/cell
energy relative to the elements	230.9	meV per atom

=====

[9]
This record from the Alexandria database describes a relaxed Cs2MgAg2 crystal. The functional is PBE.

The structure in CIF format:
```
data_Cs2MgAg2
_chemical_formula_sum 'Cs4 Mg2 Ag4'
_cell_length_a 8.0656
_cell_length_b 8.0656
_cell_length_c 5.8277
_cell_angle_alpha 90.00
_cell_angle_beta 90.00
_cell_angle_gamma 90.00
_symmetry_space_group_name_H-M 'P 4/m b m'
_symmetry_Int_Tables_number 127
_symmetry_space_group_name_Hall '-P 4 2ab'
loop_
_atom_site_label
_atom_site_fract_x
_atom_site_fract_y
_atom_site_fract_z
_atom_site_occupancy
Cs1 0.1749 0.3251 0.0000 1
Mg1 0.0000 0.0000 0.5000 1
Ag1 0.1284 0.6284 0.5000 1
```

Calculated values
M_tot	0.0	Bohr magnetons per cell
raw total energy	-1.6570	eV per atom
DOS at the Fermi energy	4.4	states/eV/cell
energy relative to the elements	143.8	meV per atom

=====

[10]
This record from the Alexandria database describes a relaxed CsMg2Ag2 crystal. The functional is PBE.

The structure in CIF format:
```
data_CsMg2Ag2
_chemical_formula_sum 'Cs2 Mg4 Ag4'
_cell_length_a 9.0029
_cell_length_b 9.0029
_cell_length_c 3.2407
_cell_angle_alpha 90.00
_cell_angle_beta 90.00
_cell_angle_gamma 90.00
_symmetry_space_group_name_H-M 'P 4/m b m'
_symmetry_Int_Tables_number 127
_symmetry_space_group_name_Hall '-P 4 2ab'
loop_
_atom_site_label
_atom_site_fract_x
_atom_site_fract_y
_atom_site_fract_z
_atom_site_occupancy
Cs1 0.0000 0.0000 0.0000 1
Mg1 0.1215 0.3785 0.0000 1
Ag1 0.1602 0.6602 0.5000 1
```

Calculated values
M_tot	0.0	Bohr magnetons per cell
raw total energy	-1.8804	eV per atom
ΔE to the lowest computed polymorph	29	meV per atom
DOS at the Fermi energy	3.3	states/eV/cell
energy relative to the elements	68.7	meV per atom

=====

[11]
This record from the Alexandria database describes a relaxed Cs2MgAg crystal. The functional is PBE.

The structure in CIF format:
```
data_Cs2MgAg
_chemical_formula_sum 'Cs8 Mg4 Ag4'
_cell_length_a 10.6242
_cell_length_b 10.6242
_cell_length_c 7.6981
_cell_angle_alpha 90.00
_cell_angle_beta 90.00
_cell_angle_gamma 90.00
_symmetry_space_group_name_H-M 'I -4 2 d'
_symmetry_Int_Tables_number 122
_symmetry_space_group_name_Hall 'I -4 2bw'
loop_
_atom_site_label
_atom_site_fract_x
_atom_site_fract_y
_atom_site_fract_z
_atom_site_occupancy
Cs1 0.2074 0.2500 0.1250 1
Mg1 0.0000 0.0000 0.5000 1
Ag1 0.0000 0.0000 0.0000 1
```

Calculated values
M_tot	0.0	Bohr magnetons per cell
raw total energy	-1.2406	eV per atom
ΔE to the lowest computed polymorph	67	meV per atom
DOS at the Fermi energy	12.1	states/eV/cell
energy relative to the elements	297.6	meV per atom

=====

[12]
This record from the Alexandria database describes a relaxed CsMg2MnAg crystal. The functional is PBE.

The structure in CIF format:
```
data_CsMg2MnAg
_chemical_formula_sum 'Cs1 Mg2 Mn1 Ag1'
_cell_length_a 5.2344
_cell_length_b 5.2344
_cell_length_c 5.4932
_cell_angle_alpha 90.00
_cell_angle_beta 90.00
_cell_angle_gamma 90.00
_symmetry_space_group_name_H-M 'P 4/m m m'
_symmetry_Int_Tables_number 123
_symmetry_space_group_name_Hall '-P 4 2'
loop_
_atom_site_label
_atom_site_fract_x
_atom_site_fract_y
_atom_site_fract_z
_atom_site_occupancy
Cs1 0.0000 0.0000 0.0000 1
Mg1 0.0000 0.5000 0.5000 1
Mn1 0.0000 0.0000 0.5000 1
Ag1 0.5000 0.5000 0.0000 1
```

Calculated values
M_tot	0.2	Bohr magnetons per cell
raw total energy	-2.1191	eV per atom
DOS at the Fermi energy	8.1	states/eV/cell
energy relative to the elements	1093.6	meV per atom